Below is a relaxed VInWO2 crystal, with properties calculated at the PBE+U level.

Cell lengths 4.124, 5.866, 4.124 Å; angles 90.00, 90.00, 90.00 degrees
Each line ends with the local moment (μB).
Positions (direct):
1 O 0.000 0.000 0.500  0.26
2 W 0.000 0.500 0.000  3.31
3 O 0.500 0.000 0.000  0.25
4 In 0.000 0.000 0.000  0.04
5 V 0.500 0.500 0.500  -2.60

Computed properties:
As for the total DFT energy (no corrections): -4.5921 eV/atom. Its space group is P4/mmm, No. 123.